Computed, not measured: NiIr2Br after structural relaxation at the PBE-GGA level of DFT.

Cell and atoms, written as POSCAR:
```
NiIr2Br
1.0
6.2442 -0.0034 0.0018
4.3433 4.4862 -0.0018
-4.9790 -2.9849 2.3001
Ir Br Ni
2 1 1
Direct
0.5428 0.5428 0.0000 Ir
0.9572 0.9572 0.0000 Ir
0.2500 0.7500 0.5000 Br
0.7500 0.2500 0.5000 Ni
```

Computed properties:
- uncorrected formation energy (meV per atom) = 684
- space-group type = No. 71
- raw total energy (eV per cell) = -22.4
- DOS at the Fermi energy (states/eV per atom) = 1.505
- V (Å³ per cell) = 64